Compound: ZrAsI2
Source: the Alexandria database
Functional: PBE-GGA
Structure: relaxed

Cell and atoms, written as POSCAR:
```
ZrAsI2
1.0
0.0000 3.6648 3.6648
3.6648 0.0000 3.6648
3.6648 3.6648 0.0000
Zr As I
1 1 2
Cartesian
0.0000 0.0000 0.0000
3.6648 3.6648 3.6648
1.8324 1.8324 1.8324
5.4971 5.4971 5.4971
```


Pm3In5 PBE-GGA relaxed; calculated formation energy = -515 meV/atom
1.0
5.0616 -4.1307 0.0000
5.0616 4.1307 0.0000
0.0000 0.0000 10.5342
Pm In
6 10
Cartesian
5.0616 3.0911 7.9006
3.0022 0.0000 0.0000
3.0022 0.0000 5.2671
7.1211 0.0000 0.0000
7.1211 0.0000 5.2671
5.0616 -3.0911 2.6335
2.1671 1.7317 7.9006
5.0616 2.5486 0.4961
5.0616 2.5486 4.7710
2.1671 -1.7317 2.6335
5.0616 0.0758 2.6335
5.0616 -0.0758 7.9006
7.9562 1.7317 7.9006
5.0616 -2.5486 5.7632
5.0616 -2.5486 10.0381
7.9562 -1.7317 2.6335


AlCd3As PBE-GGA relaxed; calculated formation energy = 498 meV/atom
1.0
5.2933 0.0000 0.0000
0.0000 5.2933 0.0000
0.0000 0.0000 5.2933
Al Cd As
1 3 1
Cartesian
0.0000 0.0000 0.0000
0.0000 2.6466 2.6466
2.6466 0.0000 2.6466
2.6466 2.6466 0.0000
2.6466 2.6466 2.6466


AcNdCo PBE-GGA relaxed; calculated formation energy = 101 meV/atom
1.0
-1.8015 1.8015 6.7633
1.8015 -1.8015 6.7633
1.8015 1.8015 -6.7633
Ac Nd Co
1 1 1
Cartesian
0.0000 0.0000 0.0000
0.0000 0.0000 10.1440
0.0000 0.0000 4.9398


Here are the calculated final energy numbers, same order: -3.9252 -4.0078 -1.7293 -5.2266 (eV per atom).
Here are the calculated N(E_F) numbers, same order: 3.17 10.12 2.20 3.43 (states/eV per cell).
Here are the calculated total magnetic moment numbers, same order: 0.00 0.00 0.00 0.56 (μB per formula unit).